# Sr3Hg | Alexandria via LeMat-Bulk | GGA-PBE | relaxed
# formation energy from the elements	-0.16	eV/atom
# DOS at the Fermi energy	3.83	states/eV/cell
# crystal system	orthorhombic
data_Sr3Hg
_cell_length_a 4.1416
_cell_length_b 4.2707
_cell_length_c 10.7783
_cell_angle_alpha 90.00
_cell_angle_beta 90.00
_cell_angle_gamma 90.00
_symmetry_space_group_name_H-M 'P m m 2'
_symmetry_Int_Tables_number 25
_symmetry_space_group_name_Hall 'P 2 -2'
loop_
_atom_site_label
_atom_site_type_symbol
_atom_site_fract_x
_atom_site_fract_y
_atom_site_fract_z
Sr1 Sr 0.0000 0.0000 0.0000
Sr2 Sr 0.0000 0.5000 0.3388
Sr3 Sr 0.5000 0.5000 0.7057
Hg1 Hg 0.5000 0.0000 0.4711

=====

# Rb2AcSeO6 | Alexandria via LeMat-Bulk | GGA-PBE | relaxed
# uncorrected formation energy	-1.471	eV/atom
# DOS at the Fermi energy	1.35	states/eV/cell
# crystal system	trigonal
data_Rb2AcSeO6
_cell_length_a 6.5544
_cell_length_b 6.5544
_cell_length_c 6.2514
_cell_angle_alpha 90.00
_cell_angle_beta 90.00
_cell_angle_gamma 120.00
_symmetry_space_group_name_H-M 'P -3 m 1'
_symmetry_Int_Tables_number 164
_symmetry_space_group_name_Hall '-P 3 2"'
loop_
_atom_site_label
_atom_site_type_symbol
_atom_site_fract_x
_atom_site_fract_y
_atom_site_fract_z
Rb1 Rb 0.3333 0.6667 0.4121
Ac1 Ac 0.0000 0.0000 0.0000
Se1 Se 0.0000 0.0000 0.5000
O1 O 0.1306 0.2612 0.6744

=====

# LaHoSc | Alexandria via LeMat-Bulk | GGA-PBE | relaxed
# formation energy from the elements	0.06	eV/atom
# DOS at the Fermi energy	9.30	states/eV/cell
# crystal system	tetragonal
data_LaHoSc
_cell_length_a 3.5534
_cell_length_b 3.5534
_cell_length_c 14.5813
_cell_angle_alpha 90.00
_cell_angle_beta 90.00
_cell_angle_gamma 90.00
_symmetry_space_group_name_H-M 'I 4 m m'
_symmetry_Int_Tables_number 107
_symmetry_space_group_name_Hall 'I 4 -2'
loop_
_atom_site_label
_atom_site_type_symbol
_atom_site_fract_x
_atom_site_fract_y
_atom_site_fract_z
La1 La 0.0000 0.0000 0.0000
Ho1 Ho 0.0000 0.0000 0.6800
Sc1 Sc 0.0000 0.0000 0.3353

=====

# Ag2Pb5F12 | Alexandria via LeMat-Bulk | GGA-PBE | relaxed
# uncorrected formation energy	-2.053	eV/atom
# DOS at the Fermi energy	0.00	states/eV/cell
# crystal system	monoclinic
data_Ag2Pb5F12
_cell_length_a 13.8443
_cell_length_b 6.4805
_cell_length_c 8.3737
_cell_angle_alpha 90.00
_cell_angle_beta 108.88
_cell_angle_gamma 90.00
_symmetry_space_group_name_H-M 'C 1 2/m 1'
_symmetry_Int_Tables_number 12
_symmetry_space_group_name_Hall '-C 2y'
loop_
_atom_site_label
_atom_site_type_symbol
_atom_site_fract_x
_atom_site_fract_y
_atom_site_fract_z
Ag1 Ag 0.0000 0.2147 0.0000
Pb1 Pb 0.0000 0.0000 0.5000
Pb2 Pb 0.1821 0.5000 0.8497
Pb3 Pb 0.1887 0.5000 0.3516
F1 F 0.0031 0.5000 0.2094
F2 F 0.0448 0.0000 0.7991
F3 F 0.1528 0.2476 0.5550
F4 F 0.1868 0.2813 0.0994

=====

# K4Ag3Br10 | Alexandria via LeMat-Bulk | GGA-PBE | relaxed
# uncorrected formation energy	-0.938	eV/atom
# DOS at the Fermi energy	11.65	states/eV/cell
# crystal system	tetragonal
data_K4Ag3Br10
_cell_length_a 5.3961
_cell_length_b 5.3961
_cell_length_c 38.1236
_cell_angle_alpha 90.00
_cell_angle_beta 90.00
_cell_angle_gamma 90.00
_symmetry_space_group_name_H-M 'I 4/m m m'
_symmetry_Int_Tables_number 139
_symmetry_space_group_name_Hall '-I 4 2'
loop_
_atom_site_label
_atom_site_type_symbol
_atom_site_fract_x
_atom_site_fract_y
_atom_site_fract_z
K1 K 0.0000 0.0000 0.0688
K2 K 0.0000 0.0000 0.1995
Ag1 Ag 0.0000 0.0000 0.3571
Ag2 Ag 0.0000 0.0000 0.5000
Br1 Br 0.0000 0.0000 0.2857
Br2 Br 0.0000 0.0000 0.4297
Br3 Br 0.0000 0.5000 0.0000
Br4 Br 0.0000 0.5000 0.1388

=====

# TbPm4Nd8 | Alexandria via LeMat-Bulk | GGA-PBE | relaxed
# formation energy from the elements	0.40	eV/atom
# DOS at the Fermi energy	82.78	states/eV/cell
# crystal system	trigonal
data_TbPm4Nd8
_cell_length_a 11.8793
_cell_length_b 11.8793
_cell_length_c 11.7410
_cell_angle_alpha 90.00
_cell_angle_beta 90.00
_cell_angle_gamma 120.00
_symmetry_space_group_name_H-M 'R -3 m'
_symmetry_Int_Tables_number 166
_symmetry_space_group_name_Hall '-R 3 2"'
loop_
_atom_site_label
_atom_site_type_symbol
_atom_site_fract_x
_atom_site_fract_y
_atom_site_fract_z
Tb1 Tb 0.0000 0.0000 0.0000
Pm1 Pm 0.0000 0.0000 0.5000
Pm2 Pm 0.0000 0.5000 0.5000
Nd1 Nd 0.0000 0.0000 0.2573
Nd2 Nd 0.0014 0.5007 0.1676

=====

# Nd2Cu3Rh | Alexandria via LeMat-Bulk | GGA-PBE | relaxed
# formation energy from the elements	-0.33	eV/atom
# DOS at the Fermi energy	4.47	states/eV/cell
# crystal system	orthorhombic
data_Nd2Cu3Rh
_cell_length_a 3.8378
_cell_length_b 4.2716
_cell_length_c 7.4472
_cell_angle_alpha 90.00
_cell_angle_beta 90.00
_cell_angle_gamma 90.00
_symmetry_space_group_name_H-M 'P m m 2'
_symmetry_Int_Tables_number 25
_symmetry_space_group_name_Hall 'P 2 -2'
loop_
_atom_site_label
_atom_site_type_symbol
_atom_site_fract_x
_atom_site_fract_y
_atom_site_fract_z
Nd1 Nd 0.0000 0.0000 0.0000
Nd2 Nd 0.0000 0.5000 0.4728
Cu1 Cu 0.5000 0.0000 0.6586
Cu2 Cu 0.5000 0.5000 0.1425
Cu3 Cu 0.5000 0.5000 0.8170
Rh1 Rh 0.5000 0.0000 0.3209

=====

# Sr5Zn5Ir2 | Alexandria via LeMat-Bulk | GGA-PBE | relaxed
# formation energy from the elements	-0.26	eV/atom
# DOS at the Fermi energy	11.56	states/eV/cell
# crystal system	monoclinic
data_Sr5Zn5Ir2
_cell_length_a 16.3720
_cell_length_b 4.3474
_cell_length_c 12.1726
_cell_angle_alpha 90.00
_cell_angle_beta 129.73
_cell_angle_gamma 90.00
_symmetry_space_group_name_H-M 'C 1 2/m 1'
_symmetry_Int_Tables_number 12
_symmetry_space_group_name_Hall '-C 2y'
loop_
_atom_site_label
_atom_site_type_symbol
_atom_site_fract_x
_atom_site_fract_y
_atom_site_fract_z
Sr1 Sr 0.0000 0.0000 0.0000
Sr2 Sr 0.1161 0.5000 0.8184
Sr3 Sr 0.1974 0.5000 0.5766
Zn1 Zn 0.0000 0.0000 0.5000
Zn2 Zn 0.0677 0.0000 0.3177
Zn3 Zn 0.2089 0.5000 0.1629
Ir1 Ir 0.1116 0.5000 0.2583